## MnNb6Mo (GGA-PBE)

Data for a relaxed structure of MnNb6Mo.

It has space group I4/mmm (No. 139), with a = 4.5552 Å, b = 4.5552 Å, c = 13.1270 Å, α = 90.00°, β = 90.00° and γ = 90.00°. Symmetry generates all atoms from Mn at (0.0000, 0.0000, 0.0000), Nb at (0.0000, 0.0000, 0.2500), Nb at (0.0000, 0.5000, 0.1189) and Mo at (0.0000, 0.0000, 0.5000).

Its total energy is -10.1021 eV/atom. The formation energy is -0.4 eV/f.u. The total magnetization is 0.000 μB per formula unit.

***

## Mn3NbMo (GGA-PBE)

Data for a relaxed structure of Mn3NbMo.

It has space group Pm-3m (No. 221), with a = 4.5784 Å, b = 4.5784 Å, c = 4.5784 Å, α = 90.00°, β = 90.00° and γ = 90.00°. Symmetry generates all atoms from Mn at (0.0000, 0.0000, 0.5000), Nb at (0.0000, 0.0000, 0.0000) and Mo at (0.5000, 0.5000, 0.5000).

Its total energy is -8.0724 eV/atom. The formation energy is 8.0 eV/f.u. The value obtained for the relative energy among the computed polymorphs is 182 meV per atom. The total magnetization is 5.604 μB per formula unit.

***

## MnNbMo2 (GGA-PBE)

Data for a relaxed structure of MnNbMo2.

It has space group I-42d (No. 122), with a = 7.0895 Å, b = 7.0895 Å, c = 5.1739 Å, α = 90.00°, β = 90.00° and γ = 90.00°. Symmetry generates all atoms from Mn at (0.0000, 0.0000, 0.0000), Nb at (0.0000, 0.0000, 0.5000) and Mo at (0.2145, 0.2500, 0.1250).

Its total energy is -9.6063 eV/atom. The formation energy is 2.5 eV/f.u. The value obtained for the relative energy among the computed polymorphs is 551 meV per atom. The total magnetization is 0.679 μB per formula unit.